Record 1
! P2RuPb | Alexandria | PBE-GGA | relaxed; values from VASP
&SYSTEM
  ibrav = 0, nat = 4, ntyp = 3
/
ATOMIC_SPECIES
P 30.97 P.upf
Pb 207.20 Pb.upf
Ru 101.07 Ru.upf
ATOMIC_POSITIONS crystal
P 0.0000 0.0000 0.0000
P 0.2500 0.7500 0.5000
Pb 0.5000 0.5000 0.0000
Ru 0.7500 0.2500 0.5000
CELL_PARAMETERS angstrom
-1.6770 -0.3131 -4.6238
-1.1133 -4.7557 -0.6590
-1.3851 3.0504 3.6148
! * ΔE_f: 0.71 eV per atom
! * spin magnetization: 0.000 μB/f.u.

***

Record 2
! PRuPb2 | Alexandria | PBE-GGA | relaxed; values from VASP
&SYSTEM
  ibrav = 0, nat = 4, ntyp = 3
/
ATOMIC_SPECIES
Pb 207.20 Pb.upf
P 30.97 P.upf
Ru 101.07 Ru.upf
ATOMIC_POSITIONS crystal
Pb 0.5000 0.5000 0.3093
Pb 0.0000 0.0000 0.9365
P 0.5000 0.5000 0.6778
Ru 0.0000 0.0000 0.5763
CELL_PARAMETERS angstrom
3.2109 0.0000 0.0000
0.0000 3.2105 0.0000
0.0000 0.0000 8.5092
! * ΔE_f: -0.01 eV per atom
! * spin magnetization: 0.317 μB/f.u.